Here is an optimized crystal structure of Ce3Dy2TmS6 from the Alexandria database. Energies are from PBE.

a = 6.807 Å, b = 11.799 Å, c = 6.926 Å
α = 90.00°, β = 109.17°, γ = 90.00°
Space group C2/m (No. 12)
Unique sites:
Ce  0.000  0.000  0.000
Ce  0.000  0.332  0.000
Dy  0.000  0.167  0.500
Tm  0.000  0.500  0.500
S  0.243  0.335  0.736
S  0.249  0.000  0.737

Properties
total moment: 4.95 μB/cell
E_form (uncorrected): -2022 meV per atom
volume: 525.4 Å³/cell

***

Here is an optimized crystal structure of Ce3DyTm2S6 from the Alexandria database. Energies are from PBE.

a = 6.779 Å, b = 11.750 Å, c = 6.926 Å
α = 90.00°, β = 109.09°, γ = 90.00°
Space group C2/m (No. 12)
Unique sites:
Ce  0.000  0.000  0.000
Ce  0.000  0.335  0.000
Dy  0.000  0.500  0.500
Tm  0.000  0.167  0.500
S  0.241  0.000  0.733
S  0.247  0.332  0.734

Properties
total moment: 4.95 μB/cell
E_form (uncorrected): -2013 meV per atom
volume: 521.3 Å³/cell

***

Here is an optimized crystal structure of Ce2DyTmS6 from the Alexandria database. Energies are from PBE.

a = 7.0459 Å, b = 7.0459 Å, c = 18.4707 Å
α = 90.00°, β = 90.00°, γ = 120.00°
Space group R3 (No. 146, hexagonal axes)
Unique sites:
Ce  0.0000  0.0000  0.0000
Ce  0.0000  0.0000  0.4992
Dy  0.0000  0.0000  0.2057
Tm  0.0000  0.0000  0.7046
S  0.0487  0.3559  0.7741
S  0.0501  0.6888  0.2747

Properties
total moment: 6.02 μB/cell
E_form (uncorrected): -1991 meV per atom
volume: 794.1 Å³/cell

***

Here is an optimized crystal structure of Ce4DyTm3S8 from the Alexandria database. Energies are from PBE.

a = 7.8267 Å, b = 7.8267 Å, c = 19.5790 Å
α = 90.00°, β = 90.00°, γ = 120.00°
Space group R-3m (No. 166, hexagonal axes)
Unique sites:
Ce  0.0000  0.0000  0.0000
Ce  0.0000  0.5000  0.0000
Dy  0.0000  0.0000  0.5000
Tm  0.0000  0.5000  0.5000
S  0.0000  0.0000  0.2442
S  0.0028  0.5014  0.7552

Properties
total moment: 7.96 μB/cell
E_form (uncorrected): -2011 meV per atom
volume: 1038.8 Å³/cell

***

Here is an optimized crystal structure of Ce3DyTm3S8 from the Alexandria database. Energies are from PBE.

a = 7.8069 Å, b = 7.8069 Å, c = 19.5784 Å
α = 90.00°, β = 90.00°, γ = 120.00°
Space group R-3m (No. 166, hexagonal axes)
Unique sites:
Ce  0.0000  0.5000  0.0000
Dy  0.0000  0.0000  0.5000
Tm  0.0000  0.5000  0.5000
S  0.0000  0.0000  0.2442
S  0.0059  0.5029  0.7544

Properties
total moment: 10.55 μB/cell
E_form (uncorrected): -2034 meV per atom
volume: 1033.4 Å³/cell

***

Here is an optimized crystal structure of Ce4Dy3TmS8 from the Alexandria database. Energies are from PBE.

a = 7.8726 Å, b = 7.8726 Å, c = 19.5917 Å
α = 90.00°, β = 90.00°, γ = 120.00°
Space group R-3m (No. 166, hexagonal axes)
Unique sites:
Ce  0.0000  0.0000  0.0000
Ce  0.0000  0.5000  0.0000
Dy  0.0000  0.5000  0.5000
Tm  0.0000  0.0000  0.5000
S  0.0000  0.0000  0.2461
S  0.0029  0.5015  0.2454

Properties
total moment: 8.09 μB/cell
E_form (uncorrected): -2023 meV per atom
volume: 1051.6 Å³/cell

***

Here is an optimized crystal structure of Ce2DyTmS5 from the Alexandria database. Energies are from PBE.

a = 4.857 Å, b = 4.857 Å, c = 10.270 Å
α = 90.00°, β = 90.00°, γ = 90.00°
Space group P4/mmm (No. 123)
Unique sites:
Ce  0.000  0.000  0.201
Dy  0.500  0.500  0.500
Tm  0.500  0.500  0.000
S  0.000  0.000  0.500
S  0.000  0.500  0.000
S  0.500  0.500  0.254

Properties
total moment: 3.27 μB/cell
E_form (uncorrected): -1521 meV per atom
volume: 242.2 Å³/cell

***

Here is an optimized crystal structure of CeDy3Tm2S6 from the Alexandria database. Energies are from PBE.

a = 17.005 Å, b = 3.890 Å, c = 7.842 Å
α = 90.00°, β = 103.13°, γ = 90.00°
Space group C2/m (No. 12)
Unique sites:
Ce  0.000  0.000  0.000
Dy  0.000  0.000  0.500
Dy  0.163  0.500  0.835
Tm  0.165  0.500  0.329
S  0.002  0.500  0.259
S  0.169  0.000  0.580
S  0.171  0.000  0.090

Properties
total moment: 1.50 μB/cell
E_form (uncorrected): -1983 meV per atom
volume: 505.2 Å³/cell

***

Here is an optimized crystal structure of CeDy2Tm3S6 from the Alexandria database. Energies are from PBE.

a = 16.995 Å, b = 3.874 Å, c = 7.834 Å
α = 90.00°, β = 103.66°, γ = 90.00°
Space group C2/m (No. 12)
Unique sites:
Ce  0.000  0.000  0.000
Dy  0.165  0.500  0.329
Tm  0.000  0.000  0.500
Tm  0.165  0.500  0.835
S  0.001  0.500  0.738
S  0.166  0.000  0.587
S  0.172  0.000  0.082

Properties
total moment: 1.67 μB/cell
E_form (uncorrected): -1976 meV per atom
volume: 501.2 Å³/cell

***

Here is an optimized crystal structure of Ce2DyY3S6 from the Alexandria database. Energies are from PBE.

a = 6.826 Å, b = 11.839 Å, c = 6.871 Å
α = 90.00°, β = 109.45°, γ = 90.00°
Space group C2/m (No. 12)
Unique sites:
Ce  0.000  0.166  0.000
Dy  0.000  0.500  0.000
Y  0.000  0.000  0.500
Y  0.000  0.333  0.500
S  0.242  0.500  0.743
S  0.249  0.336  0.256

Properties
total moment: 3.06 μB/cell
E_form (uncorrected): -2019 meV per atom
volume: 523.6 Å³/cell